(i)
A plane-wave DFT calculation with PBE was carried out for Y2Ho7 after structural relaxation.

Output
Space group   No. 189

Cell: 9.633 9.633 3.537 Å, 90.00 90.00 120.00°
Atoms (fractional coordinates):
Y1 0.333 0.667 0.000
Y2 0.667 0.333 0.000
Ho1 0.000 0.000 0.500
Ho2 0.000 0.360 0.500
Ho3 0.000 0.696 0.000
Ho4 0.304 0.304 0.000
Ho5 0.360 0.000 0.500
Ho6 0.640 0.640 0.500
Ho7 0.696 0.000 0.000

---

(ii)
A plane-wave DFT calculation with PBE was carried out for Y2Ho7 after structural relaxation.

Output
Space group   No. 162

Cell: 6.122 6.122 8.662 Å, 90.00 90.00 120.00°
Atoms (fractional coordinates):
Y1 0.333 0.667 0.000
Y2 0.667 0.333 0.000
Ho1 0.000 0.000 0.000
Ho2 0.000 0.333 0.666
Ho3 0.000 0.667 0.334
Ho4 0.333 0.000 0.666
Ho5 0.333 0.333 0.334
Ho6 0.667 0.000 0.334
Ho7 0.667 0.667 0.666

---

Q: Which of them is the most stable? A: (ii).

---

(i)
A plane-wave DFT calculation with PBE was carried out for Y3Ho2Zn2 after structural relaxation.

Output
Space group   No. 65

Cell: 15.416 15.416 3.519 Å, 90.00 90.00 166.84°
Atoms (fractional coordinates):
Y1 0.000 0.000 0.000
Y2 0.118 0.882 0.000
Y3 0.882 0.118 0.000
Ho1 0.299 0.701 0.500
Ho2 0.701 0.299 0.500
Zn1 0.442 0.558 0.500
Zn2 0.558 0.442 0.500

---

(ii)
A plane-wave DFT calculation with PBE was carried out for Y3Ho2Zn2 after structural relaxation.

Output
Space group   No. 12

Cell: 6.723 6.723 9.026 Å, 114.81 114.81 31.61°
Atoms (fractional coordinates):
Y1 0.000 0.000 0.000
Y2 0.110 0.110 0.441
Y3 0.890 0.890 0.559
Ho1 0.350 0.350 0.188
Ho2 0.650 0.650 0.812
Zn1 0.320 0.320 0.775
Zn2 0.680 0.680 0.225

---

Q: Which of them is the most stable? A: (ii).

---

(i)
A plane-wave DFT calculation with PBE was carried out for Y3HoZn2 after structural relaxation.

Output
Space group   No. 123

Cell: 3.578 3.578 12.183 Å, 90.00 90.00 90.00°
Atoms (fractional coordinates):
Y1 0.000 0.000 0.000
Y2 0.000 0.000 0.291
Y3 0.000 0.000 0.709
Ho1 0.500 0.500 0.500
Zn1 0.500 0.500 0.145
Zn2 0.500 0.500 0.855

---

(ii)
A plane-wave DFT calculation with PBE was carried out for Y3HoZn2 after structural relaxation.

Output
Space group   No. 26

Cell: 5.036 9.100 6.769 Å, 90.00 90.00 90.00°
Atoms (fractional coordinates):
Y1 0.000 0.057 0.000
Y2 0.000 0.328 0.348
Y3 0.000 0.672 0.848
Y4 0.000 0.943 0.500
Y5 0.500 0.175 0.682
Y6 0.500 0.825 0.182
Ho1 0.500 0.442 0.031
Ho2 0.500 0.558 0.531
Zn1 0.000 0.350 0.790
Zn2 0.000 0.650 0.290
Zn3 0.500 0.150 0.241
Zn4 0.500 0.850 0.741

---

Q: Which of them is the most stable? A: (ii).